1.
Density functional theory data (PBE) for an optimized crystal structure of Zn6Cu8Au.

```
Zn6Cu8Au
1.0
3.5202 2.0324 4.9258
-3.5202 2.0324 4.9258
0.0000 -4.0648 4.9258
Zn Cu Au
6 8 1
direct
0.1260 0.6303 0.3846
0.3697 0.6154 0.8740
0.3846 0.1260 0.6303
0.6154 0.8740 0.3697
0.6303 0.3846 0.1260
0.8740 0.3697 0.6154
0.1240 0.4172 0.8358
0.1642 0.8760 0.5828
0.2403 0.2403 0.2403
0.4172 0.8358 0.1240
0.5828 0.1642 0.8760
0.7597 0.7597 0.7597
0.8358 0.1240 0.4172
0.8760 0.5828 0.1642
0.0000 0.0000 0.0000
```

Output
Energy of formation (eV/atom): 0.0362
Uncorrected energy (hartree per atom): -0.106
Volume (Å³/cell): 211
Crystal system: trigonal

***

2.
Density functional theory data (PBE) for an optimized crystal structure of ZnCu8Au6.

```
ZnCu8Au6
1.0
3.4399 1.9860 5.5096
-3.4399 1.9860 5.5096
0.0000 -3.9720 5.5096
Zn Cu Au
1 8 6
direct
0.0000 0.0000 0.0000
0.1498 0.1498 0.1498
0.2370 0.6832 0.4043
0.3168 0.5957 0.7630
0.4043 0.2370 0.6832
0.5957 0.7630 0.3168
0.6832 0.4043 0.2370
0.7630 0.3168 0.5957
0.8502 0.8502 0.8502
0.0587 0.5415 0.2251
0.2251 0.0587 0.5415
0.4585 0.7749 0.9413
0.5415 0.2251 0.0587
0.7749 0.9413 0.4585
0.9413 0.4585 0.7749
```

Output
Energy of formation (eV/atom): 0.0066
Uncorrected energy (hartree per atom): -0.131
Volume (Å³/cell): 226
Crystal system: trigonal